## a
# Sr2Zn2Hg, relaxed, DFT PBE-GGA
data_Sr2Zn2Hg
_symmetry_space_group_name_H-M 'P 4/m b m'
_symmetry_Int_Tables_number 127
_symmetry_space_group_name_Hall '-P 4 2ab'
_cell_length_a 8.153
_cell_length_b 8.153
_cell_length_c 4.344
_cell_angle_alpha 90.00
_cell_angle_beta 90.00
_cell_angle_gamma 90.00
loop_
_atom_site_label
_atom_site_type_symbol
_atom_site_fract_x
_atom_site_fract_y
_atom_site_fract_z
Sr1 Sr 0.187 0.313 0.000
Zn1 Zn 0.111 0.611 0.500
Hg1 Hg 0.000 0.000 0.500
# * crystal system: tetragonal


## b
# Sr2Zn2Hg, relaxed, DFT PBE-GGA
data_Sr2Zn2Hg
_symmetry_space_group_name_H-M 'P 4/m b m'
_symmetry_Int_Tables_number 127
_symmetry_space_group_name_Hall '-P 4 2ab'
_cell_length_a 9.018
_cell_length_b 9.018
_cell_length_c 4.023
_cell_angle_alpha 90.00
_cell_angle_beta 90.00
_cell_angle_gamma 90.00
loop_
_atom_site_label
_atom_site_type_symbol
_atom_site_fract_x
_atom_site_fract_y
_atom_site_fract_z
Sr1 Sr 0.184 0.316 0.000
Zn1 Zn 0.102 0.602 0.500
Hg1 Hg 0.000 0.000 0.000
# * crystal system: tetragonal


Most stable to least stable, the ends of the list are a and b.


## a
# Sr8ZnHg2, relaxed, DFT PBE-GGA
data_Sr8ZnHg2
_symmetry_space_group_name_H-M 'C 1 2/m 1'
_symmetry_Int_Tables_number 12
_cell_length_a 20.641
_cell_length_b 5.708
_cell_length_c 7.986
_cell_angle_alpha 90.00
_cell_angle_beta 106.80
_cell_angle_gamma 90.00
loop_
_symmetry_equiv_pos_as_xyz
'x,y,z'
'-x,-y,-z'
'-x,y,-z'
'x,-y,z'
'x+1/2,y+1/2,z'
'-x+1/2,-y+1/2,-z'
'-x+1/2,y+1/2,-z'
'x+1/2,-y+1/2,z'
loop_
_atom_site_label
_atom_site_type_symbol
_atom_site_fract_x
_atom_site_fract_y
_atom_site_fract_z
Sr1 Sr 0.034 0.000 0.295
Sr2 Sr 0.093 0.500 0.947
Sr3 Sr 0.167 0.500 0.469
Sr4 Sr 0.207 0.000 0.822
Zn1 Zn 0.000 0.500 0.500
Hg1 Hg 0.185 0.000 0.215
# * crystal system: monoclinic


## b
# Sr8ZnHg2, relaxed, DFT PBE-GGA
data_Sr8ZnHg2
_symmetry_space_group_name_H-M 'C 1 m 1'
_symmetry_Int_Tables_number 8
_cell_length_a 10.034
_cell_length_b 14.714
_cell_length_c 6.922
_cell_angle_alpha 90.00
_cell_angle_beta 109.07
_cell_angle_gamma 90.00
loop_
_symmetry_equiv_pos_as_xyz
'x,y,z'
'x,-y,z'
'x+1/2,y+1/2,z'
'x+1/2,-y+1/2,z'
loop_
_atom_site_label
_atom_site_type_symbol
_atom_site_fract_x
_atom_site_fract_y
_atom_site_fract_z
Sr1 Sr 0.000 0.000 0.000
Sr2 Sr 0.067 0.370 0.780
Sr3 Sr 0.152 0.131 0.575
Sr4 Sr 0.218 0.500 0.372
Sr5 Sr 0.357 0.212 0.183
Zn1 Zn 0.359 0.000 0.382
Hg1 Hg 0.362 0.313 0.685
# * crystal system: monoclinic


Most stable to least stable, the ends of the list are a and b.